Entry 1:
! PBE LiCrCu2Ge, relaxed; values from VASP
! Calculated density: 4.9 g/cm3
! Electronic total energy: -3.8586 eV/atom
! Formation enthalpy at 0 K: 1.011 eV per atom
! Calculated volume: 17.4 Å³ per atom
&SYSTEM
  ibrav = 0, nat = 5, ntyp = 4
/
ATOMIC_SPECIES
Cr 52.00 Cr.upf
Li 6.94 Li.upf
Ge 72.64 Ge.upf
Cu 63.55 Cu.upf
ATOMIC_POSITIONS crystal
Cr 0.5000 0.5000 0.5000
Li 0.0000 0.5000 0.0000
Ge 0.0000 0.0000 0.0000
Cu 0.5000 0.0000 0.0000
Cu 0.0000 0.0000 0.5000
CELL_PARAMETERS angstrom
-0.0012 -1.0015 4.3050
-2.4227 -3.6441 -0.8484
3.7101 -2.3401 -0.5433

Entry 2:
! PBE Ca4AsI5, relaxed; values from VASP
! Calculated density: 3.8 g/cm3
! Electronic total energy: -3.5805 eV/atom
! Formation energy from raw total energies: -1.540 eV/atom
! Calculated volume: 37.7 Å³ per atom
&SYSTEM
  ibrav = 0, nat = 10, ntyp = 3
/
ATOMIC_SPECIES
Ca 40.08 Ca.upf
I 126.90 I.upf
As 74.92 As.upf
ATOMIC_POSITIONS crystal
Ca 0.3470 0.0838 0.6940
Ca 0.9991 0.2236 0.9983
Ca 0.0009 0.7764 0.0017
Ca 0.6530 0.9162 0.3060
I 0.5000 0.5000 0.0000
I 0.8342 0.3338 0.6685
I 0.1703 0.1623 0.3406
I 0.1658 0.6662 0.3315
I 0.8297 0.8377 0.6594
As 0.5000 0.0000 0.0000
CELL_PARAMETERS angstrom
4.3356 0.0000 -0.9534
0.1740 8.8663 0.7913
-0.0837 1.3121 9.9538

Entry 3:
! PBE UFeCo2, relaxed; values from VASP
! Calculated density: 12.2 g/cm3
! Electronic total energy: -8.2361 eV/atom
! Formation enthalpy at 0 K: 0.255 eV per atom
! Calculated volume: 14.0 Å³ per atom
&SYSTEM
  ibrav = 0, nat = 4, ntyp = 3
/
ATOMIC_SPECIES
Co 58.93 Co.upf
Fe 55.84 Fe.upf
U 238.03 U.upf
ATOMIC_POSITIONS crystal
Co 0.2611 0.2611 0.2167
Co 0.7389 0.7389 0.7833
Fe 0.0000 0.0000 0.0000
U 0.5000 0.5000 0.5000
CELL_PARAMETERS angstrom
-1.7930 -1.4616 1.4619
0.6557 -2.5178 0.8481
2.8796 1.9831 8.0755

Entry 4:
! PBE NbInAs2Br, relaxed; values from VASP
! Calculated density: 5.2 g/cm3
! Electronic total energy: -3.6927 eV/atom
! Formation energy from raw total energies: 1.063 eV/atom
! Distance to the lowest polymorph of the same formula: 1092 meV/atom
! Calculated volume: 28.2 Å³ per atom
&SYSTEM
  ibrav = 0, nat = 5, ntyp = 4
/
ATOMIC_SPECIES
Br 79.90 Br.upf
As 74.92 As.upf
Nb 92.91 Nb.upf
In 114.82 In.upf
ATOMIC_POSITIONS crystal
Br 0.0000 0.0000 0.5000
As 0.5000 0.0000 0.0000
As 0.0000 0.5000 0.0000
Nb 0.5000 0.5000 0.5000
In 0.0000 0.0000 0.0000
CELL_PARAMETERS angstrom
-1.2884 -3.9496 -3.0084
2.9390 -3.1117 2.8265
-4.1823 -1.0596 3.1822

Entry 5:
! PBE Li2CrBr, relaxed; values from VASP
! Calculated density: 2.7 g/cm3
! Electronic total energy: -3.8623 eV/atom
! Formation energy from raw total energies: -0.081 eV/atom
! Distance to the lowest polymorph of the same formula: 51 meV/atom
! Calculated volume: 22.1 Å³ per atom
&SYSTEM
  ibrav = 0, nat = 4, ntyp = 3
/
ATOMIC_SPECIES
Cr 52.00 Cr.upf
Br 79.90 Br.upf
Li 6.94 Li.upf
ATOMIC_POSITIONS crystal
Cr 0.5000 0.5000 0.8161
Br 0.0000 0.0000 0.3862
Li 0.5000 0.5000 0.2770
Li 0.0000 0.0000 0.0207
CELL_PARAMETERS angstrom
-1.9298 -2.8213 0.9863
-0.1286 -1.0946 -3.3826
5.8623 -3.6723 0.9654

Entry 6:
! PBE Ba12InGa6, relaxed; values from VASP
! Calculated density: 3.9 g/cm3
! Electronic total energy: -2.4154 eV/atom
! Formation enthalpy at 0 K: -0.101 eV per atom
! Calculated volume: 49.2 Å³ per atom
&SYSTEM
  ibrav = 0, nat = 19, ntyp = 3
/
ATOMIC_SPECIES
Ga 69.72 Ga.upf
Ba 137.33 Ba.upf
In 114.82 In.upf
ATOMIC_POSITIONS crystal
Ga 0.6083 0.3024 0.1401
Ga 0.6976 0.8599 0.3917
Ga 0.3024 0.1401 0.6083
Ga 0.3917 0.6976 0.8599
Ga 0.8599 0.3917 0.6976
Ga 0.1401 0.6083 0.3024
Ba 0.4248 0.5689 0.1756
Ba 0.5752 0.4311 0.8244
Ba 0.0647 0.9236 0.3269
Ba 0.5689 0.1756 0.4248
Ba 0.4311 0.8244 0.5752
Ba 0.0764 0.6731 0.9353
Ba 0.3269 0.0647 0.9236
Ba 0.9353 0.0764 0.6731
Ba 0.8244 0.5752 0.4311
Ba 0.6731 0.9353 0.0764
Ba 0.9236 0.3269 0.0647
Ba 0.1756 0.4248 0.5689
In 0.0000 0.0000 0.0000
CELL_PARAMETERS angstrom
-2.8004 0.5959 -9.5815
8.9757 -4.3231 -0.8665
-5.5575 -7.6847 3.1721

Entry 7:
! PBE Er3Ni2, relaxed; values from VASP
! Calculated density: 9.4 g/cm3
! Electronic total energy: -5.4202 eV/atom
! Formation enthalpy at 0 K: -0.370 eV per atom
! Distance to the lowest polymorph of the same formula: 15 meV/atom
! Calculated volume: 22.0 Å³ per atom
&SYSTEM
  ibrav = 0, nat = 5, ntyp = 2
/
ATOMIC_SPECIES
Ni 58.69 Ni.upf
Er 167.26 Er.upf
ATOMIC_POSITIONS crystal
Ni 0.5000 0.3035 0.6071
Ni 0.5000 0.6965 0.3929
Er 0.0000 0.1526 0.3051
Er 0.5000 0.5000 0.0000
Er 0.0000 0.8474 0.6949
CELL_PARAMETERS angstrom
3.6125 0.0000 0.0000
0.0000 4.0983 -1.3080
0.0000 0.0992 7.3856

Entry 8:
! PBE NiSbRu2Br, relaxed; values from VASP
! Calculated density: 6.9 g/cm3
! Electronic total energy: -4.2634 eV/atom
! Formation energy from raw total energies: 1.762 eV/atom
! Calculated volume: 22.2 Å³ per atom
&SYSTEM
  ibrav = 0, nat = 5, ntyp = 4
/
ATOMIC_SPECIES
Ru 101.07 Ru.upf
Ni 58.69 Ni.upf
Br 79.90 Br.upf
Sb 121.76 Sb.upf
ATOMIC_POSITIONS crystal
Ru 0.0000 0.0000 0.5000
Ru 0.5000 0.0000 0.0000
Ni 0.5000 0.5000 0.5000
Br 0.0000 0.0000 0.0000
Sb 0.0000 0.5000 0.0000
CELL_PARAMETERS angstrom
4.5264 0.0000 0.0000
0.0000 5.4074 0.0000
0.0000 0.0000 4.5264

Entry 9:
! PBE NdSbPb2, relaxed; values from VASP
! Calculated density: 8.6 g/cm3
! Electronic total energy: -3.9044 eV/atom
! Formation energy from raw total energies: 0.172 eV/atom
! Distance to the lowest polymorph of the same formula: 601 meV/atom
! Calculated volume: 32.9 Å³ per atom
&SYSTEM
  ibrav = 0, nat = 4, ntyp = 3
/
ATOMIC_SPECIES
Pb 207.20 Pb.upf
Sb 121.76 Sb.upf
Nd 144.24 Nd.upf
ATOMIC_POSITIONS crystal
Pb 0.9063 0.9063 0.2812
Pb 0.0937 0.0937 0.7188
Sb 0.5000 0.5000 0.5000
Nd 0.0000 0.0000 0.0000
CELL_PARAMETERS angstrom
3.6273 0.0000 0.0000
1.8137 3.1414 0.0000
1.8137 1.0471 11.5566

Entry 10:
! PBE ThCd11Ga, relaxed; values from VASP
! Calculated density: 8.7 g/cm3
! Electronic total energy: -1.6139 eV/atom
! Formation enthalpy at 0 K: -0.036 eV per atom
! Calculated volume: 22.6 Å³ per atom
&SYSTEM
  ibrav = 0, nat = 13, ntyp = 3
/
ATOMIC_SPECIES
Cd 112.41 Cd.upf
Th 232.04 Th.upf
Ga 69.72 Ga.upf
ATOMIC_POSITIONS crystal
Cd 0.3571 0.6455 0.6514
Cd 0.4997 0.7881 0.2090
Cd 0.7087 0.7881 0.7910
Cd 0.6429 0.3545 0.3486
Cd 0.5000 0.0000 0.5000
Cd 0.9915 0.3545 0.6514
Cd 0.5003 0.2119 0.7910
Cd 0.2913 0.2119 0.2090
Cd 0.0000 0.5000 0.0000
Cd 0.0000 0.0000 0.5000
Cd 0.0085 0.6455 0.3486
Th 0.0000 0.0000 0.0000
Ga 0.5000 0.5000 0.0000
CELL_PARAMETERS angstrom
5.4761 0.0458 2.2814
2.7335 6.9791 1.1388
0.0007 0.0229 7.7112

Entry 11:
! PBE Ce5PmPb3, relaxed; values from VASP
! Calculated density: 9.0 g/cm3
! Electronic total energy: -5.3854 eV/atom
! Formation enthalpy at 0 K: -0.325 eV per atom
! Calculated volume: 30.2 Å³ per atom
&SYSTEM
  ibrav = 0, nat = 18, ntyp = 3
/
ATOMIC_SPECIES
Pb 207.20 Pb.upf
Ce 140.12 Ce.upf
Pm 145.00 Pm.upf
ATOMIC_POSITIONS crystal
Pb 0.2500 0.0000 0.3280
Pb 0.7500 0.6720 0.0000
Pb 0.2500 0.6720 0.6720
Pb 0.7500 0.0000 0.6720
Pb 0.7500 0.3280 0.3280
Pb 0.2500 0.3280 0.0000
Ce 0.2500 0.6602 0.0000
Ce 0.5000 0.6667 0.3333
Ce 0.0000 0.6667 0.3333
Ce 0.7500 0.3398 0.0000
Ce 0.5000 0.3333 0.6667
Ce 0.2500 0.3398 0.3398
Ce 0.2500 0.0000 0.6602
Ce 0.7500 0.6602 0.6602
Ce 0.7500 0.0000 0.3398
Ce 0.0000 0.3333 0.6667
Pm 0.5000 0.0000 0.0000
Pm 0.0000 0.0000 0.0000
CELL_PARAMETERS angstrom
-1.1206 -5.9897 -2.8645
6.1114 -4.1206 6.2254
-9.3697 0.7059 2.1892

Entry 12:
! PBE NaBeOs2Rh, relaxed; values from VASP
! Calculated density: 8.1 g/cm3
! Electronic total energy: -4.8913 eV/atom
! Formation enthalpy at 0 K: 2.080 eV per atom
! Calculated volume: 21.1 Å³ per atom
&SYSTEM
  ibrav = 0, nat = 5, ntyp = 4
/
ATOMIC_SPECIES
Be 9.01 Be.upf
Na 22.99 Na.upf
Os 190.23 Os.upf
Rh 102.91 Rh.upf
ATOMIC_POSITIONS crystal
Be 0.5000 0.5000 0.5000
Na 0.0000 0.5000 0.0000
Os 0.5000 0.0000 0.0000
Os 0.0000 0.0000 0.5000
Rh 0.0000 0.0000 0.0000
CELL_PARAMETERS angstrom
-0.6961 4.6093 0.1793
-4.6343 -0.6514 -1.2467
-1.1624 -0.3508 4.5042

Which formula does entry 11 have? Ce5PmPb3

Among the records above, which one has the highest calculated density? UFeCo2